Record 1
! PBE MgBC, optimized geometry; values from VASP
! **SG**: No. 1
! **ΔH_f (0 K)**: 0.033 eV/atom
! **Energy relative to the lowest polymorph listed for this composition**: 4 kJ/mol of formula units
! **N(E_F)**: 0.3 states/eV/f.u.
&SYSTEM
  ibrav = 0, nat = 6, ntyp = 3
/
ATOMIC_SPECIES
Mg 24.30 Mg.upf
B 10.81 B.upf
C 12.01 C.upf
CELL_PARAMETERS angstrom
2.7905 0.0000 0.0000
-0.0018 4.6741 0.0000
-1.3003 -2.3109 5.8212
ATOMIC_POSITIONS angstrom
Mg 0.0000 0.0000 0.0000
Mg 0.0237 -0.0010 3.7812
B 0.0126 1.6646 1.8928
B 1.4084 -0.7442 1.8907
C 0.0115 3.1990 1.8892
C 1.4082 0.8591 1.8946

***

Record 2
! PBE In3Te, optimized geometry; values from VASP
! **SG**: No. 166
! **Formation energy without anion corrections**: -98 meV per atom
! **N(E_F)**: 2.1 states/eV/f.u.
&SYSTEM
  ibrav = 0, nat = 4, ntyp = 2
/
ATOMIC_SPECIES
In 114.82 In.upf
Te 127.60 Te.upf
CELL_PARAMETERS angstrom
2.1270 1.2280 7.8057
-2.1270 1.2280 7.8057
0.0000 -2.4561 7.8057
ATOMIC_POSITIONS angstrom
In 0.0000 0.0000 0.0000
In 0.0000 0.0000 5.8251
In 0.0000 0.0000 17.5921
Te 0.0000 0.0000 11.7086

***

Record 3
! PBE CaCdCoP, optimized geometry; values from VASP
! **SG**: No. 129
! **ΔH_f (0 K)**: -0.598 eV/atom
! **N(E_F)**: 1.7 states/eV/f.u.
&SYSTEM
  ibrav = 0, nat = 8, ntyp = 4
/
ATOMIC_SPECIES
Ca 40.08 Ca.upf
Cd 112.41 Cd.upf
Co 58.93 Co.upf
P 30.97 P.upf
CELL_PARAMETERS angstrom
3.8938 0.0000 0.0000
0.0000 3.8938 0.0000
0.0000 0.0000 10.7337
ATOMIC_POSITIONS angstrom
Ca 0.9735 0.9735 2.3733
Ca 2.9204 2.9204 8.3605
Cd 0.9735 2.9204 5.3669
Cd 2.9204 0.9735 5.3669
Co 0.9735 2.9204 0.0000
Co 2.9204 0.9735 0.0000
P 0.9735 0.9735 9.5950
P 2.9204 2.9204 1.1388

***

Record 4
! PBE PaAsO, optimized geometry; values from VASP
! **SG**: No. 14
! **Energy relative to the lowest polymorph listed for this composition**: 39 kJ/mol of formula units
! **Formation energy without anion corrections**: -2082 meV per atom
! **N(E_F)**: 3.0 states/eV/f.u.
&SYSTEM
  ibrav = 0, nat = 12, ntyp = 3
/
ATOMIC_SPECIES
Pa 231.04 Pa.upf
As 74.92 As.upf
O 16.00 O.upf
CELL_PARAMETERS angstrom
5.7668 0.0000 0.0000
0.0000 5.4432 0.0000
-1.3751 0.0000 7.2291
ATOMIC_POSITIONS angstrom
Pa 1.0897 0.8286 1.1852
Pa 0.4021 1.8930 4.7998
Pa 3.9895 3.5501 2.4293
Pa 3.3020 4.6146 6.0438
As 1.9738 3.5600 0.1544
As 1.2863 4.6048 3.7690
As 3.1054 0.8384 3.4601
As 2.4178 1.8832 7.0746
O -0.7267 0.6315 6.1901
O -0.0391 2.0901 2.5755
O 4.4307 3.3530 4.6536
O 5.1183 4.8117 1.0390

***

Record 5
! PBE NaBiAu, optimized geometry; values from VASP
! **SG**: No. 216
! **ΔH_f (0 K)**: -0.270 eV/atom
! **Energy relative to the lowest polymorph listed for this composition**: 5 kJ/mol of formula units
! **N(E_F)**: 2.4 states/eV/f.u.
&SYSTEM
  ibrav = 0, nat = 3, ntyp = 3
/
ATOMIC_SPECIES
Na 22.99 Na.upf
Bi 208.98 Bi.upf
Au 196.97 Au.upf
CELL_PARAMETERS angstrom
0.0000 3.4250 3.4250
3.4250 0.0000 3.4250
3.4250 3.4250 0.0000
ATOMIC_POSITIONS angstrom
Na 0.0000 0.0000 0.0000
Bi 3.4250 3.4250 3.4250
Au 1.7125 1.7125 1.7125

***

Record 6
! PBE SmYErIn, optimized geometry; values from VASP
! **SG**: No. 216
! **ΔH_f (0 K)**: -0.150 eV/atom
! **Energy relative to the lowest polymorph listed for this composition**: 45 kJ/mol of formula units
! **N(E_F)**: 6.1 states/eV/f.u.
&SYSTEM
  ibrav = 0, nat = 4, ntyp = 4
/
ATOMIC_SPECIES
Sm 150.36 Sm.upf
Y 88.91 Y.upf
Er 167.26 Er.upf
In 114.82 In.upf
CELL_PARAMETERS angstrom
0.0000 3.8730 3.8730
3.8730 0.0000 3.8730
3.8730 3.8730 0.0000
ATOMIC_POSITIONS angstrom
Sm 0.0000 0.0000 0.0000
Y 3.8730 3.8730 3.8730
Er 1.9365 1.9365 1.9365
In 5.8095 5.8095 5.8095

***

Record 7
! PBE PmSmZnAu, optimized geometry; values from VASP
! **SG**: No. 99
! **ΔH_f (0 K)**: -0.558 eV/atom
! **Energy relative to the lowest polymorph listed for this composition**: 0 kJ/mol of formula units
! **N(E_F)**: 3.3 states/eV/f.u.
&SYSTEM
  ibrav = 0, nat = 4, ntyp = 4
/
ATOMIC_SPECIES
Pm 145.00 Pm.upf
Sm 150.36 Sm.upf
Zn 65.41 Zn.upf
Au 196.97 Au.upf
CELL_PARAMETERS angstrom
3.7003 0.0000 0.0000
0.0000 3.7003 0.0000
0.0000 0.0000 7.1801
ATOMIC_POSITIONS angstrom
Pm 0.0000 0.0000 0.0000
Sm 0.0000 0.0000 3.5520
Zn 1.8502 1.8502 1.7897
Au 1.8502 1.8502 5.3399

***

Record 8
! PBE TaCrIr2, optimized geometry; values from VASP
! **SG**: No. 122
! **ΔH_f (0 K)**: 0.324 eV/atom
! **Energy relative to the lowest polymorph listed for this composition**: 294 kJ/mol of formula units
! **N(E_F)**: 3.4 states/eV/f.u.
&SYSTEM
  ibrav = 0, nat = 8, ntyp = 3
/
ATOMIC_SPECIES
Ta 180.95 Ta.upf
Cr 52.00 Cr.upf
Ir 192.22 Ir.upf
CELL_PARAMETERS angstrom
-1.9671 1.9671 8.5719
1.9671 -1.9671 8.5719
1.9671 1.9671 -8.5719
ATOMIC_POSITIONS angstrom
Ta 0.0000 0.0000 0.0000
Ta 0.0000 1.9671 4.2859
Cr 1.9671 0.0000 4.2859
Cr 0.0000 0.0000 8.5719
Ir 0.9835 -0.8914 6.4289
Ir 1.0757 0.9835 2.1430
Ir 0.9835 2.8585 -2.1430
Ir 0.8914 0.9835 10.7149

***

Record 9
! PBE PuZr2Cd6, optimized geometry; values from VASP
! **SG**: No. 191
! **ΔH_f (0 K)**: -0.065 eV/atom
! **N(E_F)**: 14.3 states/eV/f.u.
&SYSTEM
  ibrav = 0, nat = 9, ntyp = 3
/
ATOMIC_SPECIES
Pu 244.00 Pu.upf
Zr 91.22 Zr.upf
Cd 112.41 Cd.upf
CELL_PARAMETERS angstrom
8.6492 0.0000 0.0000
-4.3246 7.4904 0.0000
0.0000 0.0000 3.0984
ATOMIC_POSITIONS angstrom
Pu 0.0000 0.0000 0.0000
Zr 0.0000 4.9936 0.0000
Zr 4.3246 2.4968 0.0000
Cd -1.4638 2.5354 1.5492
Cd -2.8608 4.9550 1.5492
Cd 2.9277 0.0000 1.5492
Cd 1.4638 2.5354 1.5492
Cd 5.7215 0.0000 1.5492
Cd 2.8608 4.9550 1.5492

***

Record 10
! PBE ThBMo, optimized geometry; values from VASP
! **SG**: No. 63
! **ΔH_f (0 K)**: 0.007 eV/atom
! **N(E_F)**: 1.8 states/eV/f.u.
&SYSTEM
  ibrav = 0, nat = 6, ntyp = 3
/
ATOMIC_SPECIES
Th 232.04 Th.upf
B 10.81 B.upf
Mo 95.94 Mo.upf
CELL_PARAMETERS angstrom
1.7580 -5.8507 0.0000
1.7580 5.8507 0.0000
0.0000 0.0000 5.4317
ATOMIC_POSITIONS angstrom
Th 1.7580 4.0354 4.0738
Th 1.7580 -4.0354 1.3579
B 1.7580 3.9506 1.3579
B 1.7580 -3.9506 4.0738
Mo 1.7580 0.6708 4.0738
Mo 1.7580 -0.6708 1.3579

***

Record 11
! PBE MnFe3Co4, optimized geometry; values from VASP
! **SG**: No. 123
! **ΔH_f (0 K)**: -0.056 eV/atom
! **N(E_F)**: 3.0 states/eV/f.u.
&SYSTEM
  ibrav = 0, nat = 8, ntyp = 3
/
ATOMIC_SPECIES
Mn 54.94 Mn.upf
Fe 55.84 Fe.upf
Co 58.93 Co.upf
CELL_PARAMETERS angstrom
4.0334 0.0000 0.0000
0.0000 4.0334 0.0000
0.0000 0.0000 5.7092
ATOMIC_POSITIONS angstrom
Mn 0.0000 0.0000 0.0000
Fe 0.0000 0.0000 2.8546
Fe 2.0167 2.0167 0.0000
Fe 2.0167 2.0167 2.8546
Co 0.0000 2.0167 1.4464
Co 0.0000 2.0167 4.2628
Co 2.0167 0.0000 1.4464
Co 2.0167 0.0000 4.2628

***

Record 12
! PBE BeAgS2N, optimized geometry; values from VASP
! **SG**: No. 123
! **Energy relative to the lowest polymorph listed for this composition**: 554 kJ/mol of formula units
! **Formation energy without anion corrections**: 1596 meV per atom
! **N(E_F)**: 3.8 states/eV/f.u.
&SYSTEM
  ibrav = 0, nat = 5, ntyp = 4
/
ATOMIC_SPECIES
Be 9.01 Be.upf
Ag 107.87 Ag.upf
S 32.06 S.upf
N 14.01 N.upf
CELL_PARAMETERS angstrom
4.9206 0.0000 0.0000
0.0000 4.9206 0.0000
0.0000 0.0000 3.9312
ATOMIC_POSITIONS angstrom
Be 0.0000 0.0000 0.0000
Ag 2.4603 2.4603 1.9656
S 0.0000 2.4603 1.9656
S 2.4603 0.0000 1.9656
N 2.4603 2.4603 0.0000

***

no.,size of the total moment (μB/cell)
1,0.000
2,0.000
3,1.282
4,2.765
5,0.000
6,1.011
7,0.000
8,2.504
9,5.709
10,0.000
11,18.367
12,1.831